(1)
## La8Ni2Ag (PBE)

Data for a geometry-optimized La8Ni2Ag structure.

Lattice parameters (Å, degrees): 8.1635 8.1635 5.9094 98.79 98.79 117.11
Closest atoms and distances in Å follow each position.
Atoms (fractional coordinates):
La1 0.0000 0.0000 0.0000  1 Ag 3.22, 4 La 3.26-3.58, 2 Ni 3.47
La2 0.2112 0.2112 0.6204  1 Ag 3.22, 4 La 3.26-3.58, 2 Ni 3.47
La3 0.2651 0.5126 0.2423  2 Ni 2.84-2.88
La4 0.3693 0.8451 0.8106  2 Ni 3.03-3.04, 1 Ag 3.31
La5 0.5126 0.2651 0.2423  2 Ni 2.84-2.88
La6 0.6996 0.9476 0.3793  2 Ni 2.84-2.88
La7 0.8451 0.3693 0.8106  2 Ni 3.03-3.04, 1 Ag 3.31
La8 0.9476 0.6996 0.3793  2 Ni 2.84-2.88
Ni1 0.3192 0.8922 0.3093  6 La 2.84-3.04
Ni2 0.8922 0.3192 0.3093  6 La 2.84-3.04
Ag1 0.6056 0.6056 0.8101  4 La 3.22-3.31

Total moment in μB per formula unit: 0.00
Calculated density in g/cm3: 6.6
Calculated volume in Å³/f.u.: 335.2
Energy of formation from the pure elements in eV/atom: -0.083
Symmetry: No. 8
Crystal system: monoclinic

---

(2)
## LaNi2Ag (PBE)

Data for a geometry-optimized LaNi2Ag structure.

Lattice parameters (Å, degrees): 6.7086 6.7086 6.7086 90.00 90.00 90.00
Closest atoms and distances in Å follow each position.
Atoms (fractional coordinates):
La1 0.0000 0.0000 0.0000  4 Ni 2.90, 4 Ag 2.90
La2 0.0000 0.5000 0.5000  4 Ni 2.90, 4 Ag 2.90
La3 0.5000 0.0000 0.5000  4 Ni 2.90, 4 Ag 2.90
La4 0.5000 0.5000 0.0000  4 Ni 2.90, 4 Ag 2.90
Ni1 0.0000 0.0000 0.5000  4 Ag 2.90, 4 Ni 2.90
Ni2 0.0000 0.5000 0.0000  4 Ag 2.90, 4 Ni 2.90
Ni3 0.2500 0.2500 0.7500  4 La 2.90, 4 Ni 2.90
Ni4 0.2500 0.7500 0.2500  4 La 2.90, 4 Ni 2.90
Ni5 0.5000 0.0000 0.0000  4 Ag 2.90, 4 Ni 2.90
Ni6 0.5000 0.5000 0.5000  4 Ag 2.90, 4 Ni 2.90
Ni7 0.7500 0.2500 0.2500  4 La 2.90, 4 Ni 2.90
Ni8 0.7500 0.7500 0.7500  4 La 2.90, 4 Ni 2.90
Ag1 0.2500 0.2500 0.2500  4 La 2.90, 4 Ni 2.90
Ag2 0.2500 0.7500 0.7500  4 La 2.90, 4 Ni 2.90
Ag3 0.7500 0.2500 0.7500  4 La 2.90, 4 Ni 2.90
Ag4 0.7500 0.7500 0.2500  4 La 2.90, 4 Ni 2.90

Total moment in μB per formula unit: 0.00
Calculated density in g/cm3: 8.0
Calculated volume in Å³/f.u.: 75.5
Energy of formation from the pure elements in eV/atom: 0.135
Symmetry: No. 216
Crystal system: cubic

---

(3)
## La2Ni2Ag (PBE)

Data for a geometry-optimized La2Ni2Ag structure.

Lattice parameters (Å, degrees): 3.6846 3.6846 16.9172 90.00 90.00 90.00
Closest atoms and distances in Å follow each position.
Atoms (fractional coordinates):
La1 0.0000 0.0000 0.1239  4 Ni 2.82
La2 0.0000 0.0000 0.8761  4 Ni 2.82
La3 0.5000 0.5000 0.3761  4 Ni 2.82
La4 0.5000 0.5000 0.6239  4 Ni 2.82
Ni1 0.0000 0.5000 0.2500  4 Ni 2.61, 4 La 2.82
Ni2 0.0000 0.5000 0.7500  4 Ni 2.61, 4 La 2.82
Ni3 0.5000 0.0000 0.2500  4 Ni 2.61, 4 La 2.82
Ni4 0.5000 0.0000 0.7500  4 Ni 2.61, 4 La 2.82
Ag1 0.0000 0.0000 0.5000  8 La 3.34, 4 Ag 3.68
Ag2 0.5000 0.5000 0.0000  8 La 3.34, 4 Ag 3.68

Total moment in μB per formula unit: 0.00
Calculated density in g/cm3: 7.3
Calculated volume in Å³/f.u.: 114.8
Energy of formation from the pure elements in eV/atom: -0.132
Symmetry: No. 139
Crystal system: tetragonal

---

(4)
## La4NiAg (PBE)

Data for a geometry-optimized La4NiAg structure.

Lattice parameters (Å, degrees): 6.3352 6.3352 6.3352 60.00 60.00 60.00
Closest atoms and distances in Å follow each position.
Atoms (fractional coordinates):
La1 0.1240 0.1240 0.1240  6 La 3.14-3.19
La2 0.1240 0.1240 0.6279  6 La 3.14-3.19
La3 0.1240 0.6279 0.1240  6 La 3.14-3.19
La4 0.6279 0.1240 0.1240  6 La 3.14-3.19
Ni1 0.7500 0.7500 0.7500  12 La 3.71, 4 Ag 3.88
Ag1 0.5000 0.5000 0.5000  12 La 3.72, 4 Ni 3.88

Total moment in μB per formula unit: 0.00
Calculated density in g/cm3: 6.7
Calculated volume in Å³/f.u.: 179.8
Energy of formation from the pure elements in eV/atom: 0.623
Symmetry: No. 216
Crystal system: cubic

---

(5)
## La2Ni9Ag (PBE)

Data for a geometry-optimized La2Ni9Ag structure.

Lattice parameters (Å, degrees): 8.7157 8.7157 8.7157 33.18 33.18 33.18
Closest atoms and distances in Å follow each position.
Atoms (fractional coordinates):
La1 0.1331 0.1331 0.1331  9 Ni 2.82-2.99
La2 0.8669 0.8669 0.8669  9 Ni 2.82-2.99
Ni1 0.0799 0.5788 0.5788  7 Ni 2.41-2.59
Ni2 0.3325 0.3325 0.3325  6 Ni 2.41-2.44
Ni3 0.4212 0.4212 0.9201  7 Ni 2.41-2.59
Ni4 0.4212 0.9201 0.4212  7 Ni 2.41-2.59
Ni5 0.5000 0.5000 0.5000  6 Ni 2.59
Ni6 0.5788 0.0799 0.5788  7 Ni 2.41-2.59
Ni7 0.5788 0.5788 0.0799  7 Ni 2.41-2.59
Ni8 0.6675 0.6675 0.6675  6 Ni 2.41-2.44
Ni9 0.9201 0.4212 0.4212  7 Ni 2.41-2.59
Ag1 0.0000 0.0000 0.0000  18 Ni 2.87-3.16

Total moment in μB per formula unit: 2.62
Calculated density in g/cm3: 8.6
Calculated volume in Å³/f.u.: 176.5
Energy of formation from the pure elements in eV/atom: -0.123
Symmetry: No. 166
Crystal system: trigonal

---

(6)
## La4Ni2Ag5 (PBE)

Data for a geometry-optimized La4Ni2Ag5 structure.

Lattice parameters (Å, degrees): 7.4951 4.0159 8.8999 90.00 93.71 90.00
Closest atoms and distances in Å follow each position.
Atoms (fractional coordinates):
La1 0.1981 0.0000 0.3480  2 Ni 2.91, 4 Ag 3.25
La2 0.2287 0.0000 0.9153  4 Ni 3.01-3.07, 6 Ag 3.24-3.32
La3 0.7713 0.0000 0.0847  4 Ni 3.01-3.07, 6 Ag 3.24-3.32
La4 0.8019 0.0000 0.6520  2 Ni 2.91, 4 Ag 3.25
Ni1 0.0692 0.5000 0.1313  1 Ni 2.49, 1 Ag 2.77
Ni2 0.9308 0.5000 0.8687  1 Ni 2.49, 1 Ag 2.77
Ag1 0.1534 0.5000 0.6322  1 Ni 2.77, 1 Ag 2.92
Ag2 0.4445 0.5000 0.1629  1 Ni 2.81, 2 Ag 3.00-3.07
Ag3 0.5000 0.5000 0.5000  4 Ag 2.92-3.00, 4 La 3.25
Ag4 0.5555 0.5000 0.8371  1 Ni 2.81, 2 Ag 3.00-3.07
Ag5 0.8466 0.5000 0.3678  1 Ni 2.77, 1 Ag 2.92

Total moment in μB per formula unit: 0.00
Calculated density in g/cm3: 7.5
Calculated volume in Å³/f.u.: 267.3
Energy of formation from the pure elements in eV/atom: -0.277
Symmetry: No. 10
Crystal system: monoclinic

---

(7)
## LaNi2Ag (PBE)

Data for a geometry-optimized LaNi2Ag structure.

Lattice parameters (Å, degrees): 4.4411 4.4411 13.8000 90.00 90.00 120.00
Closest atoms and distances in Å follow each position.
Atoms (fractional coordinates):
La1 0.0000 0.0000 0.0000  2 Ni 2.65
La2 0.3333 0.6667 0.6667  2 Ni 2.65
La3 0.6667 0.3333 0.3333  2 Ni 2.65
Ni1 0.0000 0.0000 0.1917  3 Ag 2.59, 1 La 2.65, 3 Ni 2.66
Ni2 0.0000 0.0000 0.8083  3 Ag 2.59, 1 La 2.65, 3 Ni 2.66
Ni3 0.3333 0.6667 0.4750  3 Ag 2.59, 1 La 2.65, 3 Ni 2.66
Ni4 0.3333 0.6667 0.8584  3 Ag 2.59, 1 La 2.65, 3 Ni 2.66
Ni5 0.6667 0.3333 0.1416  3 Ag 2.59, 1 La 2.65, 3 Ni 2.66
Ni6 0.6667 0.3333 0.5250  3 Ag 2.59, 1 La 2.65, 3 Ni 2.66
Ag1 0.0000 0.0000 0.5000  6 Ni 2.59
Ag2 0.3333 0.6667 0.1667  6 Ni 2.59
Ag3 0.6667 0.3333 0.8333  6 Ni 2.59

Total moment in μB per formula unit: 0.00
Calculated density in g/cm3: 7.7
Calculated volume in Å³/f.u.: 78.6
Energy of formation from the pure elements in eV/atom: -0.180
Symmetry: No. 166
Crystal system: trigonal

---

(8)
## La2Ni2Ag (PBE)

Data for a geometry-optimized La2Ni2Ag structure.

Lattice parameters (Å, degrees): 5.4486 5.4486 7.7494 90.00 90.00 90.00
Closest atoms and distances in Å follow each position.
Atoms (fractional coordinates):
La1 0.0000 0.5000 0.2500  4 Ni 2.83
La2 0.0000 0.5000 0.7500  4 Ni 2.83
La3 0.5000 0.0000 0.2500  4 Ni 2.83
La4 0.5000 0.0000 0.7500  4 Ni 2.83
Ni1 0.0000 0.0000 0.1527  1 Ni 2.37
Ni2 0.0000 0.0000 0.8473  1 Ni 2.37
Ni3 0.5000 0.5000 0.3473  1 Ni 2.37
Ni4 0.5000 0.5000 0.6527  1 Ni 2.37
Ag1 0.0000 0.0000 0.5000  2 Ni 2.69
Ag2 0.5000 0.5000 0.0000  2 Ni 2.69

Total moment in μB per formula unit: 0.00
Calculated density in g/cm3: 7.3
Calculated volume in Å³/f.u.: 115.0
Energy of formation from the pure elements in eV/atom: -0.224
Symmetry: No. 139
Crystal system: tetragonal